# 1
NbGe2 at its PBEsol-relaxed geometry, computed with meta-GGA SCAN.

Lattice parameters (Å, degrees): 4.942 4.942 6.770 90.00 90.00 120.00
Element x y z (fractional)
Nb 0.000 0.500 0.333
Nb 0.500 0.000 0.000
Nb 0.500 0.500 0.667
Ge 0.164 0.328 0.000
Ge 0.164 0.836 0.667
Ge 0.328 0.164 0.333
Ge 0.672 0.836 0.333
Ge 0.836 0.164 0.667
Ge 0.836 0.672 0.000

Output
- ΔH_f (0 K) (meV/atom) = -401
- ρ (g/cm3) = 8.3
- SG = P6_422, No. 181

***

# 2
Nb3Ge at its PBEsol-relaxed geometry, computed with meta-GGA SCAN.

Lattice parameters (Å, degrees): 5.125 5.125 5.125 90.00 90.00 90.00
Element x y z (fractional)
Nb 0.000 0.250 0.500
Nb 0.000 0.750 0.500
Nb 0.250 0.500 0.000
Nb 0.500 0.000 0.250
Nb 0.500 0.000 0.750
Nb 0.750 0.500 0.000
Ge 0.000 0.000 0.000
Ge 0.500 0.500 0.500

Output
- ΔH_f (0 K) (meV/atom) = -357
- ρ (g/cm3) = 8.7
- SG = Pm-3n, No. 223

***

# 3
Nb6Ni16Ge7 at its PBEsol-relaxed geometry, computed with meta-GGA SCAN.

Lattice parameters (Å, degrees): 8.005 8.005 8.005 60.00 60.00 60.00
Element x y z (fractional)
Nb 0.202 0.202 0.798
Nb 0.202 0.798 0.202
Nb 0.202 0.798 0.798
Nb 0.798 0.202 0.202
Nb 0.798 0.202 0.798
Nb 0.798 0.798 0.202
Ni 0.149 0.617 0.617
Ni 0.168 0.168 0.168
Ni 0.168 0.168 0.496
Ni 0.168 0.496 0.168
Ni 0.383 0.383 0.383
Ni 0.383 0.383 0.851
Ni 0.383 0.851 0.383
Ni 0.496 0.168 0.168
Ni 0.504 0.832 0.832
Ni 0.617 0.149 0.617
Ni 0.617 0.617 0.149
Ni 0.617 0.617 0.617
Ni 0.832 0.504 0.832
Ni 0.832 0.832 0.504
Ni 0.832 0.832 0.832
Ni 0.851 0.383 0.383
Ge 0.000 0.000 0.500
Ge 0.000 0.500 0.000
Ge 0.000 0.500 0.500
Ge 0.500 0.000 0.000
Ge 0.500 0.000 0.500
Ge 0.500 0.500 0.000
Ge 0.500 0.500 0.500

Output
- ΔH_f (0 K) (meV/atom) = -439
- ρ (g/cm3) = 9.2
- SG = Fm-3m, No. 225

***

Look up the ΔH_f (0 K) of the second one. -357 meV/atom